Entry 1:
# Mg2OsPb (PBE-GGA, relaxed)
# * E_tot: -4.009 eV per atom
# * total moment: 0.00 μB/cell
# * space group: Cmm2, No. 35
# * formation energy: 523 meV per atom
# * calculated density: 8736 kg/m³
data_Mg2OsPb
_cell_length_a 3.0694
_cell_length_b 3.0694
_cell_length_c 9.7587
_cell_angle_alpha 90.00
_cell_angle_beta 90.00
_cell_angle_gamma 112.76
_space_group_name_H-M_alt 'P 1'
_space_group_IT_number 1
loop_
_space_group_symop_operation_xyz
'x,y,z'
loop_
_atom_site_label
_atom_site_type_symbol
_atom_site_fract_x
_atom_site_fract_y
_atom_site_fract_z
_atom_site_occupancy
Mg1 Mg 0.0000 0.0000 0.0143 1
Mg2 Mg 0.5000 0.5000 0.2809 1
Os1 Os 0.0000 0.0000 0.4875 1
Pb1 Pb 0.5000 0.5000 0.7173 1


Entry 2:
# Zr4CuBr (PBE-GGA, relaxed)
# * E_form (uncorrected): 0.61 eV/atom
# * E_tot: -6.049 eV per atom
# * total moment: 0.00 μB/cell
# * space group: F-43m, No. 216
# * calculated density: 6149 kg/m³
data_Zr4CuBr
_cell_length_a 5.7903
_cell_length_b 5.7903
_cell_length_c 5.7903
_cell_angle_alpha 60.00
_cell_angle_beta 60.00
_cell_angle_gamma 60.00
_space_group_name_H-M_alt 'P 1'
_space_group_IT_number 1
loop_
_space_group_symop_operation_xyz
'x,y,z'
loop_
_atom_site_label
_atom_site_type_symbol
_atom_site_fract_x
_atom_site_fract_y
_atom_site_fract_z
_atom_site_occupancy
Zr1 Zr 0.8821 0.3726 0.3726 1
Zr2 Zr 0.3726 0.3726 0.8821 1
Zr3 Zr 0.3726 0.8821 0.3726 1
Zr4 Zr 0.3726 0.3726 0.3726 1
Cu1 Cu 0.0000 0.0000 0.0000 1
Br1 Br 0.7500 0.7500 0.7500 1


Entry 3:
# GaAg2PdO (PBE-GGA, relaxed)
# * E_form (uncorrected): -0.02 eV/atom
# * E_tot: -3.795 eV per atom
# * total moment: 0.00 μB/cell
# * space group: P4/mmm, No. 123
# * distance to the lowest polymorph of the same formula: 0 meV per atom
# * calculated density: 8246 kg/m³
data_GaAg2PdO
_cell_length_a 4.4901
_cell_length_b 4.4901
_cell_length_c 4.0742
_cell_angle_alpha 90.00
_cell_angle_beta 90.00
_cell_angle_gamma 90.00
_space_group_name_H-M_alt 'P 1'
_space_group_IT_number 1
loop_
_space_group_symop_operation_xyz
'x,y,z'
loop_
_atom_site_label
_atom_site_type_symbol
_atom_site_fract_x
_atom_site_fract_y
_atom_site_fract_z
_atom_site_occupancy
O1 O 0.0000 0.0000 0.0000 1
Ga1 Ga 0.0000 0.0000 0.5000 1
Pd1 Pd 0.5000 0.5000 0.5000 1
Ag1 Ag 0.0000 0.5000 0.0000 1
Ag2 Ag 0.5000 0.0000 0.0000 1